1.
The following is a PBE calculation of La2YHoTm after structural relaxation, from the Alexandria database.

Cell lengths 8.414, 11.673, 7.331 Å; angles 90.00, 90.00, 90.00 degrees
Space group Cmcm (No. 63)
Symmetry-distinct sites (fractional):
La (0.197, 0.000, 0.000) (multiplicity 8)
Y (0.000, 0.249, 0.250) (multiplicity 4)
Ho (0.000, 0.214, 0.750) (multiplicity 4)
Tm (0.000, 0.475, 0.750) (multiplicity 4)

Values from the calculation:
- Size of the total moment: 0.00 Bohr magnetons per cell



2.
The following is a PBE calculation of MgZr2Ta after structural relaxation, from the Alexandria database.

Cell lengths 5.696, 2.919, 10.751 Å; angles 90.00, 104.01, 90.00 degrees
Space group Cm (No. 8)
Symmetry-distinct sites (fractional):
Mg (0.000, 0.000, 0.000) (multiplicity 2)
Zr (0.171, 0.000, 0.737) (multiplicity 2)
Zr (0.416, 0.000, 0.263) (multiplicity 2)
Ta (0.292, 0.500, 0.500) (multiplicity 2)

Values from the calculation:
- Size of the total moment: 0.00 Bohr magnetons per cell



3.
The following is a PBE calculation of AcSbPd3Au after structural relaxation, from the Alexandria database.

Cell lengths 6.356, 13.780, 6.058 Å; angles 90.00, 90.00, 90.00 degrees
Space group Cmcm (No. 63)
Symmetry-distinct sites (fractional):
Ac (0.000, 0.182, 0.250) (multiplicity 4)
Sb (0.000, 0.418, 0.250) (multiplicity 4)
Pd (0.000, 0.361, 0.750) (multiplicity 4)
Pd (0.213, 0.000, 0.000) (multiplicity 8)
Au (0.000, 0.159, 0.750) (multiplicity 4)

Values from the calculation:
- Size of the total moment: 0.00 Bohr magnetons per cell
- E_form (uncorrected): -567 meV/atom



4.
The following is a PBE calculation of Fe5Os after structural relaxation, from the Alexandria database.

Cell lengths 3.575, 11.055, 3.572 Å; angles 90.00, 90.00, 90.00 degrees
Space group Cmmm (No. 65)
Symmetry-distinct sites (fractional):
Fe (0.000, 0.000, 0.000) (multiplicity 2)
Fe (0.000, 0.166, 0.500) (multiplicity 4)
Fe (0.000, 0.334, 0.000) (multiplicity 4)
Os (0.000, 0.500, 0.500) (multiplicity 2)

Values from the calculation:
- Size of the total moment: 11.18 Bohr magnetons per cell
- Energy above the lowest structure with this stoichiometry: 0.0251 eV per atom



5.
The following is a PBE calculation of YMgB after structural relaxation, from the Alexandria database.

Cell lengths 4.958, 3.195, 15.505 Å; angles 90.00, 90.00, 90.00 degrees
Space group Amm2 (No. 38)
Symmetry-distinct sites (fractional):
Y (0.000, 0.000, 0.000) (multiplicity 2)
Y (0.500, 0.000, 0.342) (multiplicity 2)
Mg (0.000, 0.000, 0.717) (multiplicity 2)
Mg (0.500, 0.000, 0.134) (multiplicity 2)
B (0.500, 0.000, 0.505) (multiplicity 2)
B (0.500, 0.000, 0.973) (multiplicity 2)

Values from the calculation:
- Size of the total moment: 0.00 Bohr magnetons per cell
- Energy above the lowest structure with this stoichiometry: 0.1936 eV per atom



6.
The following is a PBE calculation of ScIn2Mo after structural relaxation, from the Alexandria database.

Cell lengths 3.672, 3.672, 6.138 Å; angles 90.00, 90.00, 90.00 degrees
Space group P4mm (No. 99)
Symmetry-distinct sites (fractional):
Sc (0.000, 0.000, 0.000) (multiplicity 1)
In (0.000, 0.000, 0.541) (multiplicity 1)
In (0.500, 0.500, 0.276) (multiplicity 1)
Mo (0.500, 0.500, 0.789) (multiplicity 1)

Values from the calculation:
- Size of the total moment: 0.00 Bohr magnetons per cell
- Energy above the lowest structure with this stoichiometry: 0.1472 eV per atom



7.
The following is a PBE calculation of Nd7As5P after structural relaxation, from the Alexandria database.

Cell lengths 14.037, 4.216, 24.772 Å; angles 90.00, 90.01, 90.00 degrees
Space group C2/m (No. 12)
Symmetry-distinct sites (fractional):
Nd (0.057, 0.000, 0.250) (multiplicity 4)
Nd (0.087, 0.500, 0.106) (multiplicity 4)
Nd (0.087, 0.500, 0.394) (multiplicity 4)
Nd (0.137, 0.000, 0.536) (multiplicity 4)
Nd (0.137, 0.000, 0.964) (multiplicity 4)
Nd (0.185, 0.500, 0.678) (multiplicity 4)
Nd (0.185, 0.500, 0.822) (multiplicity 4)
As (0.000, 0.500, 0.000) (multiplicity 2)
As (0.000, 0.500, 0.500) (multiplicity 2)
As (0.047, 0.000, 0.648) (multiplicity 4)
As (0.047, 0.000, 0.852) (multiplicity 4)
As (0.226, 0.000, 0.075) (multiplicity 4)
As (0.226, 0.000, 0.425) (multiplicity 4)
P (0.201, 0.500, 0.250) (multiplicity 4)

Values from the calculation:
- Size of the total moment: 3.02 Bohr magnetons per cell



8.
The following is a PBE calculation of Ac5Ge2Bi2 after structural relaxation, from the Alexandria database.

Cell lengths 16.872, 8.807, 8.845 Å; angles 90.00, 90.00, 90.00 degrees
Space group Cmce (No. 64)
Symmetry-distinct sites (fractional):
Ac (0.000, 0.000, 0.000) (multiplicity 4)
Ac (0.126, 0.162, 0.339) (multiplicity 16)
Ge (0.000, 0.144, 0.643) (multiplicity 8)
Bi (0.204, 0.000, 0.000) (multiplicity 8)

Values from the calculation:
- Size of the total moment: 0.00 Bohr magnetons per cell



9.
The following is a PBE calculation of Ac6SnBi3Se2 after structural relaxation, from the Alexandria database.

Cell lengths 20.680, 4.761, 9.482 Å; angles 90.00, 103.27, 90.00 degrees
Space group C2/m (No. 12)
Symmetry-distinct sites (fractional):
Ac (0.004, 0.000, 0.246) (multiplicity 4)
Ac (0.165, 0.500, 0.087) (multiplicity 4)
Ac (0.169, 0.500, 0.577) (multiplicity 4)
Sn (0.000, 0.500, 0.000) (multiplicity 2)
Bi (0.000, 0.500, 0.500) (multiplicity 2)
Bi (0.167, 0.000, 0.829) (multiplicity 4)
Se (0.169, 0.000, 0.338) (multiplicity 4)

Values from the calculation:
- Size of the total moment: 0.00 Bohr magnetons per cell
- E_form (uncorrected): -1234 meV/atom



10.
The following is a PBE calculation of Tl3Hg3Au4 after structural relaxation, from the Alexandria database.

Cell lengths 4.289, 10.886, 10.609 Å; angles 90.00, 90.00, 90.00 degrees
Space group Amm2 (No. 38)
Symmetry-distinct sites (fractional):
Tl (0.000, 0.000, 0.000) (multiplicity 2)
Tl (0.000, 0.168, 0.667) (multiplicity 4)
Hg (0.000, 0.000, 0.337) (multiplicity 2)
Hg (0.500, 0.243, 0.924) (multiplicity 4)
Au (0.500, 0.000, 0.520) (multiplicity 2)
Au (0.500, 0.000, 0.791) (multiplicity 2)
Au (0.500, 0.131, 0.179) (multiplicity 4)

Values from the calculation:
- Size of the total moment: 0.00 Bohr magnetons per cell



Number 1: uncorrected energy -4.67 eV per atom. Number 2: uncorrected energy -7.48 eV per atom. Number 3: uncorrected energy -5.08 eV per atom. Number 4: uncorrected energy -8.81 eV per atom. Number 5: uncorrected energy -4.99 eV per atom. Number 6: uncorrected energy -5.57 eV per atom. Number 7: uncorrected energy -6.14 eV per atom. Number 8: uncorrected energy -4.96 eV per atom. Number 9: uncorrected energy -5.17 eV per atom. Number 10: uncorrected energy -2.10 eV per atom.